## CrReS3 (PBE)

Data for CrReS3 after structural relaxation.

Geometry as POSCAR:
```
CrReS3
1.0
4.609 0.000 0.000
0.000 4.609 0.000
0.000 0.000 4.609
Cr Re S
1 1 3
Direct
0.000 0.000 0.000
0.500 0.500 0.500
0.000 0.500 0.500
0.500 0.000 0.500
0.500 0.500 0.000
```

Summary:
M_tot: 0.10 μB per atom
E_form (uncorrected): 1.04 eV per atom
V: 97.9 Å³ per cell
Energy above the lowest structure with this stoichiometry: 0.043 eV per atom
DOS at the Fermi energy: 2.21 states/eV/atom